A geometry-optimized Cs2MnBr2F4 structure, computed with GGA+U.

Output
For the theoretical density, the calculation gives 4.1 g/cm³. The calculation puts the total energy at -4.325 eV/atom. Its crystal system is tetragonal.

a = 7.3387 Å, b = 7.3387 Å, c = 8.3452 Å
α = 90.00°, β = 90.00°, γ = 90.00°
Last column: nearest neighbours and their distance in Å.
Space group I4/mmm (No. 139)
Symmetry-distinct sites (fractional):
Cs 0.0000 0.5000 0.2500 x4  8 F 3.41, 4 Br 3.73
Mn 0.0000 0.0000 0.0000 x2  4 F 1.86
Br 0.0000 0.0000 0.3286 x4  1 Mn 2.74, 1 Br 2.86
F 0.1792 0.1792 0.0000 x8  1 Mn 1.86